Entry a
## Er2NiBi (GGA-PBE)

Data for a relaxed Er2NiBi crystal.

## Properties
N(E_F) ... 5.833 states/eV/cell
SG ... No. 11
Total moment ... 0.000 μB per cell
Density ... 10.21 g/cm3

Unit cell a=4.096 b=6.159 c=8.243 alpha=109.67 beta=90.00 gamma=90.00
Positions (direct):
Er 0.750 0.259 0.453
Er 0.250 0.741 0.547
Er 0.750 0.663 0.893
Er 0.250 0.337 0.107
Ni 0.750 0.619 0.295
Ni 0.250 0.381 0.705
Bi 0.750 0.118 0.792
Bi 0.250 0.882 0.208

---

Entry b
## Er2NiBi (GGA-PBE)

Data for a relaxed Er2NiBi crystal.

## Properties
N(E_F) ... 3.075 states/eV/cell
SG ... No. 166
Total moment ... 0.000 μB per cell
Density ... 8.54 g/cm3

Unit cell a=3.806 b=3.806 c=9.584 alpha=78.55 beta=78.55 gamma=60.00
Positions (direct):
Ni 0.500 0.500 0.500
Bi 0.000 0.000 0.000
Er 0.114 0.114 0.659
Er 0.886 0.886 0.341

---

Ordering by calculated energy gives the sequence entry a, entry b, with the first entry being the most stable.